# 1
Material: PPd
Method: DFT, PBE
State: optimized geometry

CIF file:
```
data_PPd
_chemical_formula_sum 'P4 Pd4'
_symmetry_space_group_name_H-M 'P m m a'
_symmetry_Int_Tables_number 51
_symmetry_space_group_name_Hall '-P 2a 2a'
_cell_length_a 5.077
_cell_length_b 3.444
_cell_length_c 7.446
_cell_angle_alpha 90.00
_cell_angle_beta 90.00
_cell_angle_gamma 90.00
loop_
_atom_site_label
_atom_site_fract_x
_atom_site_fract_y
_atom_site_fract_z
P1 0.250 0.000 0.034
P2 0.250 0.500 0.674
Pd1 0.000 0.000 0.500
Pd2 0.250 0.500 0.243
```

---

# 2
Material: P3Pd7
Method: DFT, PBE
State: optimized geometry

CIF file:
```
data_P3Pd7
_chemical_formula_sum 'P18 Pd42'
_symmetry_space_group_name_H-M 'R 3'
_symmetry_Int_Tables_number 146
_symmetry_space_group_name_Hall 'R 3'
_cell_length_a 12.0900
_cell_length_b 12.0900
_cell_length_c 7.1523
_cell_angle_alpha 90.00
_cell_angle_beta 90.00
_cell_angle_gamma 120.00
loop_
_atom_site_label
_atom_site_fract_x
_atom_site_fract_y
_atom_site_fract_z
P1 0.0117 0.8176 0.0000
P2 0.1489 0.4745 0.2352
Pd1 0.0000 0.0000 0.0886
Pd2 0.0000 0.0000 0.4843
Pd3 0.0320 0.7928 0.6641
Pd4 0.0697 0.4975 0.9389
Pd5 0.1291 0.4341 0.5717
Pd6 0.1669 0.7598 0.9651
```

---

Number 1: total DFT energy (no corrections) -43.15 eV/cell. Number 2: total DFT energy (no corrections) -343.31 eV/cell.